# 1
DFT (PBE) results for NpV2Ir after structural relaxation.

a b c (Å): 4.608 4.608 2.867
angles (deg): 90.00 90.00 90.00
Space group P4/mmm (No. 123)
One atom of each set of equivalent atoms:
1 Np 0.000 0.000 0.000 x1
2 V 0.000 0.500 0.500 x2
3 Ir 0.500 0.500 0.000 x1

Output
final energy: -40.25 eV per formula unit
ρ: 14489 kg/m³
density of states at the Fermi level: 7.3 states/eV/f.u.
magnetic moment: 2.4 μB/f.u.
formation energy from the elements: -0.052 eV/atom
distance to the lowest polymorph of the same formula: 0.011 eV per atom

# 2
DFT (PBE) results for Ho6Si2BiTe3 after structural relaxation.

a b c (Å): 18.772 4.267 8.673
angles (deg): 90.00 103.60 90.00
Space group C2/m (No. 12)
One atom of each set of equivalent atoms:
1 Ho 0.013 0.000 0.257 x4
2 Ho 0.170 0.500 0.115 x4
3 Ho 0.175 0.500 0.567 x4
4 Si 0.169 0.000 0.337 x4
5 Bi 0.000 0.500 0.000 x2
6 Te 0.000 0.500 0.500 x2
7 Te 0.162 0.000 0.834 x4

Output
formation energy without anion corrections: -1269 kJ/mol of formula units
final energy: -64.77 eV per formula unit
ρ: 8053 kg/m³
density of states at the Fermi level: 2.7 states/eV/f.u.
magnetic moment: 0.0 μB/f.u.